(1)
Computed, not measured: crystalline Sc2Ag at its relaxed geometry at the GGA-PBE level of DFT.

Properties
The value obtained for the volume is 69.2 Å³/atom. As for the raw total energy: -21.391 eV for the cell shown.

Cell and atoms, written as CIF:
```
data_Sc2Ag
_chemical_formula_sum 'Sc4 Ag2'
_cell_length_a 8.373
_cell_length_b 8.373
_cell_length_c 8.373
_cell_angle_alpha 60.00
_cell_angle_beta 60.00
_cell_angle_gamma 60.00
_symmetry_space_group_name_H-M 'P 1'
_symmetry_Int_Tables_number 1
loop_
_symmetry_equiv_pos_as_xyz
'x,y,z'
loop_
_atom_site_label
_atom_site_fract_x
_atom_site_fract_y
_atom_site_fract_z
_atom_site_occupancy
Sc1 0.625 0.125 0.625 1
Sc2 0.625 0.625 0.125 1
Sc3 0.125 0.625 0.625 1
Sc4 0.625 0.625 0.625 1
Ag1 0.750 0.750 0.750 1
Ag2 0.500 0.500 0.500 1
```


(2)
Computed, not measured: crystalline ScAgSe2 at its relaxed geometry at the GGA-PBE level of DFT.

Properties
The value obtained for the volume is 21.9 Å³/atom. As for the raw total energy: -20.511 eV for the cell shown.

Cell and atoms, written as CIF:
```
data_ScAgSe2
_chemical_formula_sum 'Sc1 Ag1 Se2'
_cell_length_a 3.907
_cell_length_b 3.907
_cell_length_c 6.620
_cell_angle_alpha 90.00
_cell_angle_beta 90.00
_cell_angle_gamma 120.00
_symmetry_space_group_name_H-M 'P 1'
_symmetry_Int_Tables_number 1
loop_
_symmetry_equiv_pos_as_xyz
'x,y,z'
loop_
_atom_site_label
_atom_site_fract_x
_atom_site_fract_y
_atom_site_fract_z
_atom_site_occupancy
Ag1 0.000 0.000 0.500 1
Se1 0.333 0.667 0.233 1
Se2 0.667 0.333 0.767 1
Sc1 0.000 0.000 0.000 1
```


(3)
Computed, not measured: crystalline ScAgSe2 at its relaxed geometry at the GGA-PBE level of DFT.

Properties
The value obtained for the volume is 22.5 Å³/atom. As for the raw total energy: -81.803 eV for the cell shown.

Cell and atoms, written as CIF:
```
data_ScAgSe2
_chemical_formula_sum 'Sc4 Ag4 Se8'
_cell_length_a 6.752
_cell_length_b 13.269
_cell_length_c 4.018
_cell_angle_alpha 90.00
_cell_angle_beta 90.00
_cell_angle_gamma 90.00
_symmetry_space_group_name_H-M 'P 1'
_symmetry_Int_Tables_number 1
loop_
_symmetry_equiv_pos_as_xyz
'x,y,z'
loop_
_atom_site_label
_atom_site_fract_x
_atom_site_fract_y
_atom_site_fract_z
_atom_site_occupancy
Se1 0.527 0.530 0.779 1
Se2 0.081 0.226 0.713 1
Se3 0.027 0.970 0.221 1
Se4 0.919 0.726 0.787 1
Se5 0.973 0.470 0.279 1
Se6 0.419 0.774 0.213 1
Se7 0.473 0.030 0.721 1
Se8 0.581 0.274 0.287 1
Sc1 0.716 0.630 0.286 1
Sc2 0.784 0.370 0.786 1
Sc3 0.284 0.130 0.214 1
Sc4 0.216 0.870 0.714 1
Ag1 0.711 0.878 0.511 1
Ag2 0.211 0.622 0.489 1
Ag3 0.289 0.378 0.989 1
Ag4 0.789 0.122 0.011 1
```


(4)
Computed, not measured: crystalline ScAgSnSe3 at its relaxed geometry at the GGA-PBE level of DFT.

Properties
The value obtained for the volume is 25.2 Å³/atom. The calculation puts the energy relative to the lowest polymorph listed for this composition at 0 meV/atom.

Cell and atoms, written as CIF:
```
data_ScAgSnSe3
_chemical_formula_sum 'Sc4 Ag4 Sn4 Se12'
_cell_length_a 12.457
_cell_length_b 3.904
_cell_length_c 12.459
_cell_angle_alpha 90.00
_cell_angle_beta 90.00
_cell_angle_gamma 90.00
_symmetry_space_group_name_H-M 'P 1'
_symmetry_Int_Tables_number 1
loop_
_symmetry_equiv_pos_as_xyz
'x,y,z'
loop_
_atom_site_label
_atom_site_fract_x
_atom_site_fract_y
_atom_site_fract_z
_atom_site_occupancy
Sc1 0.485 0.500 0.146 1
Sc2 0.515 0.000 0.854 1
Sc3 0.015 0.000 0.646 1
Sc4 0.985 0.500 0.354 1
Se1 0.104 0.000 0.448 1
Se2 0.270 0.500 0.209 1
Se3 0.991 0.000 0.197 1
Se4 0.730 0.000 0.791 1
Se5 0.896 0.500 0.552 1
Se6 0.230 0.000 0.709 1
Se7 0.396 0.500 0.948 1
Se8 0.604 0.000 0.052 1
Se9 0.509 0.500 0.697 1
Se10 0.009 0.500 0.803 1
Se11 0.491 0.000 0.303 1
Se12 0.770 0.500 0.291 1
Ag1 0.693 0.500 0.602 1
Ag2 0.193 0.500 0.898 1
Ag3 0.807 0.000 0.102 1
Ag4 0.307 0.000 0.398 1
Sn1 0.179 0.000 0.083 1
Sn2 0.821 0.500 0.917 1
Sn3 0.321 0.500 0.583 1
Sn4 0.679 0.000 0.417 1
```


(5)
Computed, not measured: crystalline ScAgSnSe3 at its relaxed geometry at the GGA-PBE level of DFT.

Properties
The value obtained for the volume is 23.1 Å³/atom. The calculation puts the energy relative to the lowest polymorph listed for this composition at 28 meV/atom.

Cell and atoms, written as CIF:
```
data_ScAgSnSe3
_chemical_formula_sum 'Sc2 Ag2 Sn2 Se6'
_cell_length_a 7.023
_cell_length_b 7.023
_cell_length_c 10.356
_cell_angle_alpha 90.00
_cell_angle_beta 90.00
_cell_angle_gamma 32.92
_symmetry_space_group_name_H-M 'P 1'
_symmetry_Int_Tables_number 1
loop_
_symmetry_equiv_pos_as_xyz
'x,y,z'
loop_
_atom_site_label
_atom_site_fract_x
_atom_site_fract_y
_atom_site_fract_z
_atom_site_occupancy
Se1 0.907 0.907 0.750 1
Se2 0.359 0.359 0.459 1
Se3 0.641 0.641 0.541 1
Se4 0.641 0.641 0.959 1
Se5 0.093 0.093 0.250 1
Se6 0.359 0.359 0.041 1
Sc1 0.000 0.000 0.000 1
Sc2 0.000 0.000 0.500 1
Sn1 0.759 0.759 0.250 1
Sn2 0.241 0.241 0.750 1
Ag1 0.537 0.537 0.750 1
Ag2 0.463 0.463 0.250 1
```


(6)
Computed, not measured: crystalline ScAgSnTeSe2 at its relaxed geometry at the GGA-PBE level of DFT.

Properties
The value obtained for the volume is 25.1 Å³/atom. As for the raw total energy: -54.961 eV for the cell shown.

Cell and atoms, written as CIF:
```
data_ScAgSnTeSe2
_chemical_formula_sum 'Sc2 Ag2 Sn2 Te2 Se4'
_cell_length_a 7.242
_cell_length_b 7.242
_cell_length_c 10.802
_cell_angle_alpha 90.00
_cell_angle_beta 90.00
_cell_angle_gamma 147.84
_symmetry_space_group_name_H-M 'P 1'
_symmetry_Int_Tables_number 1
loop_
_symmetry_equiv_pos_as_xyz
'x,y,z'
loop_
_atom_site_label
_atom_site_fract_x
_atom_site_fract_y
_atom_site_fract_z
_atom_site_occupancy
Sc1 0.500 0.500 0.000 1
Sc2 0.500 0.500 0.500 1
Ag1 0.032 0.968 0.750 1
Ag2 0.968 0.032 0.250 1
Se1 0.866 0.134 0.047 1
Se2 0.134 0.866 0.953 1
Se3 0.134 0.866 0.547 1
Se4 0.866 0.134 0.453 1
Sn1 0.289 0.711 0.250 1
Sn2 0.711 0.289 0.750 1
Te1 0.394 0.606 0.750 1
Te2 0.606 0.394 0.250 1
```


(7)
Computed, not measured: crystalline SrScAgSe3 at its relaxed geometry at the GGA-PBE level of DFT.

Properties
The value obtained for the volume is 24.5 Å³/atom. As for the raw total energy: -59.616 eV for the cell shown.

Cell and atoms, written as CIF:
```
data_SrScAgSe3
_chemical_formula_sum 'Sr2 Sc2 Ag2 Se6'
_cell_length_a 7.797
_cell_length_b 4.064
_cell_length_c 9.684
_cell_angle_alpha 90.00
_cell_angle_beta 106.60
_cell_angle_gamma 90.00
_symmetry_space_group_name_H-M 'P 1'
_symmetry_Int_Tables_number 1
loop_
_symmetry_equiv_pos_as_xyz
'x,y,z'
loop_
_atom_site_label
_atom_site_fract_x
_atom_site_fract_y
_atom_site_fract_z
_atom_site_occupancy
Ag1 0.907 0.750 0.404 1
Ag2 0.093 0.250 0.596 1
Se1 0.706 0.250 0.453 1
Se2 0.562 0.250 0.865 1
Se3 0.081 0.250 0.861 1
Se4 0.919 0.750 0.139 1
Se5 0.294 0.750 0.547 1
Se6 0.438 0.750 0.135 1
Sr1 0.759 0.750 0.719 1
Sr2 0.241 0.250 0.281 1
Sc1 0.314 0.750 0.842 1
Sc2 0.686 0.250 0.158 1
```


(8)
Computed, not measured: crystalline SrScAgSe3 at its relaxed geometry at the GGA-PBE level of DFT.

Properties
The value obtained for the volume is 24.7 Å³/atom. As for the raw total energy: -59.371 eV for the cell shown.

Cell and atoms, written as CIF:
```
data_SrScAgSe3
_chemical_formula_sum 'Sr2 Sc2 Ag2 Se6'
_cell_length_a 9.058
_cell_length_b 9.058
_cell_length_c 8.557
_cell_angle_alpha 102.04
_cell_angle_beta 102.04
_cell_angle_gamma 25.64
_symmetry_space_group_name_H-M 'P 1'
_symmetry_Int_Tables_number 1
loop_
_symmetry_equiv_pos_as_xyz
'x,y,z'
loop_
_atom_site_label
_atom_site_fract_x
_atom_site_fract_y
_atom_site_fract_z
_atom_site_occupancy
Se1 0.316 0.316 0.687 1
Se2 0.674 0.674 0.872 1
Se3 0.684 0.684 0.313 1
Se4 0.326 0.326 0.128 1
Se5 0.500 0.500 0.500 1
Se6 0.000 0.000 0.000 1
Sr1 0.867 0.867 0.426 1
Sr2 0.133 0.133 0.574 1
Ag1 0.529 0.529 0.213 1
Ag2 0.471 0.471 0.787 1
Sc1 0.167 0.167 0.086 1
Sc2 0.833 0.833 0.914 1
```


(9)
Computed, not measured: crystalline SrScAgTe2Se at its relaxed geometry at the GGA-PBE level of DFT.

Properties
The value obtained for the volume is 27.0 Å³/atom. As for the raw total energy: -55.405 eV for the cell shown.

Cell and atoms, written as CIF:
```
data_SrScAgTe2Se
_chemical_formula_sum 'Sr2 Sc2 Ag2 Te4 Se2'
_cell_length_a 7.564
_cell_length_b 7.564
_cell_length_c 10.616
_cell_angle_alpha 90.00
_cell_angle_beta 90.00
_cell_angle_gamma 147.70
_symmetry_space_group_name_H-M 'P 1'
_symmetry_Int_Tables_number 1
loop_
_symmetry_equiv_pos_as_xyz
'x,y,z'
loop_
_atom_site_label
_atom_site_fract_x
_atom_site_fract_y
_atom_site_fract_z
_atom_site_occupancy
Se1 0.080 0.920 0.750 1
Se2 0.920 0.080 0.250 1
Sr1 0.257 0.743 0.250 1
Sr2 0.743 0.257 0.750 1
Te1 0.642 0.358 0.044 1
Te2 0.642 0.358 0.456 1
Te3 0.358 0.642 0.956 1
Te4 0.358 0.642 0.544 1
Ag1 0.528 0.472 0.250 1
Ag2 0.472 0.528 0.750 1
Sc1 0.000 0.000 0.000 1
Sc2 0.000 0.000 0.500 1
```


(10)
Computed, not measured: crystalline ScTlAgSe3 at its relaxed geometry at the GGA-PBE level of DFT.

Properties
The value obtained for the volume is 24.7 Å³/atom. As for the raw total energy: -53.417 eV for the cell shown.

Cell and atoms, written as CIF:
```
data_ScTlAgSe3
_chemical_formula_sum 'Sc2 Tl2 Ag2 Se6'
_cell_length_a 7.355
_cell_length_b 7.355
_cell_length_c 10.670
_cell_angle_alpha 90.00
_cell_angle_beta 90.00
_cell_angle_gamma 149.16
_symmetry_space_group_name_H-M 'P 1'
_symmetry_Int_Tables_number 1
loop_
_symmetry_equiv_pos_as_xyz
'x,y,z'
loop_
_atom_site_label
_atom_site_fract_x
_atom_site_fract_y
_atom_site_fract_z
_atom_site_occupancy
Tl1 0.261 0.739 0.250 1
Tl2 0.739 0.261 0.750 1
Se1 0.054 0.946 0.750 1
Se2 0.946 0.054 0.250 1
Se3 0.633 0.367 0.022 1
Se4 0.367 0.633 0.978 1
Se5 0.633 0.367 0.478 1
Se6 0.367 0.633 0.522 1
Ag1 0.578 0.422 0.250 1
Ag2 0.422 0.578 0.750 1
Sc1 0.000 0.000 0.500 1
Sc2 0.000 0.000 0.000 1
```